(1)
VASP calculation (PBE) on an optimized crystal structure of La2HfN.

The space group is I-42d (No. 122) and the conventional cell measures 7.428, 7.428 and 8.030 Å, with angles of 90.00, 90.00 and 90.00 degrees. The distinct sites, in fractional coordinates, are La at (0.137, 0.750, 0.125), Hf at (0.000, 0.000, 0.500) and N at (0.000, 0.000, 0.000).

The total magnetization comes out at 0.001 μB/atom. As for the final energy: -0.2586 hartree per atom. For the volume, the calculation gives 443 Å³/cell. Its formation energy from raw total energies is 0.00 eV per atom.

=====

(2)
VASP calculation (PBE) on an optimized crystal structure of BaLa2Pb.

The space group is R-3m (No. 166, hexagonal axes) and the conventional cell measures 4.0310, 4.0310 and 34.9166 Å, with angles of 90.00, 90.00 and 120.00 degrees. The distinct sites, in fractional coordinates, are Ba at (0.0000, 0.0000, 0.0000), La at (0.0000, 0.0000, 0.2359) and Pb at (0.0000, 0.0000, 0.5000).

The total magnetization comes out at 0.276 μB/atom. As for the final energy: -0.1446 hartree per atom. For the volume, the calculation gives 491 Å³/cell. The value obtained for the formation energy from the elements is -0.062 eV per atom.

=====

(3)
VASP calculation (PBE) on an optimized crystal structure of YCdP2O.

The space group is P4/mmm (No. 123) and the conventional cell measures 5.465, 5.465 and 4.196 Å, with angles of 90.00, 90.00 and 90.00 degrees. The distinct sites, in fractional coordinates, are Y at (0.000, 0.000, 0.000), Cd at (0.500, 0.500, 0.500), P at (0.000, 0.500, 0.000) and O at (0.000, 0.000, 0.500).

The total magnetization comes out at 0.275 μB/atom. As for the final energy: -0.1749 hartree per atom. For the volume, the calculation gives 125 Å³/cell. Its formation energy from raw total energies is -0.13 eV per atom.